[1]
# Zr2TaIr

A geometry-optimized Zr2TaIr structure (GGA-PBE, the Alexandria database).

## Properties
Energy of formation from the pure elements = 2.40 kcal/mol of atoms
Calculated volume = 20.6 A^3/atom
Distance to the lowest polymorph of the same formula = 491 meV per atom
M_tot = 0.00 μB/f.u.
Fermi-level density of states = 4.6 states/eV/f.u.

Cell and atoms, written as CIF:
```
data_Zr2TaIr
_symmetry_space_group_name_H-M 'I -4 2 d'
_symmetry_Int_Tables_number 122
_symmetry_space_group_name_Hall 'I -4 2bw'
_cell_length_a 7.6580
_cell_length_b 7.6580
_cell_length_c 5.6264
_cell_angle_alpha 90.00
_cell_angle_beta 90.00
_cell_angle_gamma 90.00
loop_
_atom_site_label
_atom_site_fract_x
_atom_site_fract_y
_atom_site_fract_z
_atom_site_occupancy
Zr1 0.2192 0.2500 0.1250 1
Ta1 0.0000 0.0000 0.5000 1
Ir1 0.0000 0.0000 0.0000 1
```

[2]
# BaEuTlSb

A geometry-optimized BaEuTlSb structure (GGA-PBE, the Alexandria database).

## Properties
Calculated volume = 35.0 A^3/atom
M_tot = 7.28 μB/f.u.
DFT total energy = -0.3874 Ry per atom
Fermi-level density of states = 3.4 states/eV/f.u.

Cell and atoms, written as CIF:
```
data_BaEuTlSb
_symmetry_space_group_name_H-M 'F -4 3 m'
_symmetry_Int_Tables_number 216
_symmetry_space_group_name_Hall 'F -4 2 3'
_cell_length_a 8.2436
_cell_length_b 8.2436
_cell_length_c 8.2436
_cell_angle_alpha 90.00
_cell_angle_beta 90.00
_cell_angle_gamma 90.00
loop_
_atom_site_label
_atom_site_fract_x
_atom_site_fract_y
_atom_site_fract_z
_atom_site_occupancy
Ba1 0.0000 0.0000 0.0000 1
Eu1 0.0000 0.0000 0.5000 1
Tl1 0.2500 0.2500 0.7500 1
Sb1 0.2500 0.2500 0.2500 1
```

[3]
# Na2ICl8

A geometry-optimized Na2ICl8 structure (GGA-PBE, the Alexandria database).

## Properties
Calculated volume = 33.4 A^3/atom
M_tot = 0.00 μB/f.u.
DFT total energy = -0.1734 Ry per atom
Fermi-level density of states = 1.5 states/eV/f.u.

Cell and atoms, written as CIF:
```
data_Na2ICl8
_symmetry_space_group_name_H-M 'C 1 2/m 1'
_symmetry_Int_Tables_number 12
_symmetry_space_group_name_Hall '-C 2y'
_cell_length_a 11.7631
_cell_length_b 11.4232
_cell_length_c 5.6952
_cell_angle_alpha 90.00
_cell_angle_beta 106.21
_cell_angle_gamma 90.00
loop_
_atom_site_label
_atom_site_fract_x
_atom_site_fract_y
_atom_site_fract_z
_atom_site_occupancy
Na1 0.2033 0.0000 0.1039 1
I1 0.0000 0.5000 0.0000 1
Cl1 0.0034 0.0000 0.2598 1
Cl2 0.0930 0.3441 0.8061 1
Cl3 0.1939 0.5000 0.3331 1
```

[4]
# Sr2HI

A geometry-optimized Sr2HI structure (GGA-PBE, the Alexandria database).

## Properties
Calculated volume = 31.6 A^3/atom
Distance to the lowest polymorph of the same formula = 15 meV per atom
M_tot = 0.00 μB/f.u.
Fermi-level density of states = 0.8 states/eV/f.u.

Cell and atoms, written as CIF:
```
data_Sr2HI
_symmetry_space_group_name_H-M 'I -4 2 d'
_symmetry_Int_Tables_number 122
_symmetry_space_group_name_Hall 'I -4 2bw'
_cell_length_a 7.9365
_cell_length_b 7.9365
_cell_length_c 8.0340
_cell_angle_alpha 90.00
_cell_angle_beta 90.00
_cell_angle_gamma 90.00
loop_
_atom_site_label
_atom_site_fract_x
_atom_site_fract_y
_atom_site_fract_z
_atom_site_occupancy
Sr1 0.1589 0.7500 0.1250 1
H1 0.0000 0.0000 0.0000 1
I1 0.0000 0.0000 0.5000 1
```

[5]
# Fe2AsW

A geometry-optimized Fe2AsW structure (GGA-PBE, the Alexandria database).

## Properties
Energy of formation from the pure elements = 5.31 kcal/mol of atoms
Calculated volume = 14.1 A^3/atom
M_tot = 4.77 μB/f.u.
Fermi-level density of states = 3.1 states/eV/f.u.

Cell and atoms, written as CIF:
```
data_Fe2AsW
_symmetry_space_group_name_H-M 'C m m m'
_symmetry_Int_Tables_number 65
_symmetry_space_group_name_Hall '-C 2 2'
_cell_length_a 3.2250
_cell_length_b 4.3672
_cell_length_c 8.0130
_cell_angle_alpha 90.00
_cell_angle_beta 90.00
_cell_angle_gamma 90.00
loop_
_atom_site_label
_atom_site_fract_x
_atom_site_fract_y
_atom_site_fract_z
_atom_site_occupancy
Fe1 0.0000 0.0000 0.2443 1
As1 0.0000 0.5000 0.0000 1
W1 0.0000 0.5000 0.5000 1
```

[6]
# CaAc2Sm4

A geometry-optimized CaAc2Sm4 structure (GGA-PBE, the Alexandria database).

## Properties
Energy of formation from the pure elements = 2.60 kcal/mol of atoms
Calculated volume = 37.8 A^3/atom
M_tot = 0.00 μB/f.u.
Fermi-level density of states = 12.9 states/eV/f.u.

Cell and atoms, written as CIF:
```
data_CaAc2Sm4
_symmetry_space_group_name_H-M 'R -3 m'
_symmetry_Int_Tables_number 166
_symmetry_space_group_name_Hall '-R 3 2"'
_cell_length_a 5.9715
_cell_length_b 5.9715
_cell_length_c 25.6945
_cell_angle_alpha 90.00
_cell_angle_beta 90.00
_cell_angle_gamma 120.00
loop_
_atom_site_label
_atom_site_fract_x
_atom_site_fract_y
_atom_site_fract_z
_atom_site_occupancy
Ca1 0.0000 0.0000 0.0000 1
Ac1 0.0000 0.0000 0.2842 1
Sm1 0.0000 0.0000 0.1423 1
Sm2 0.0000 0.0000 0.4357 1
```

[7]
# Sr2NiPBr

A geometry-optimized Sr2NiPBr structure (GGA-PBE, the Alexandria database).

## Properties
Calculated volume = 35.3 A^3/atom
M_tot = 0.41 μB/f.u.
DFT total energy = -0.2395 Ry per atom
Fermi-level density of states = 8.6 states/eV/f.u.

Cell and atoms, written as CIF:
```
data_Sr2NiPBr
_symmetry_space_group_name_H-M 'P 4/m m m'
_symmetry_Int_Tables_number 123
_symmetry_space_group_name_Hall '-P 4 2'
_cell_length_a 5.8446
_cell_length_b 5.8446
_cell_length_c 5.1616
_cell_angle_alpha 90.00
_cell_angle_beta 90.00
_cell_angle_gamma 90.00
loop_
_atom_site_label
_atom_site_fract_x
_atom_site_fract_y
_atom_site_fract_z
_atom_site_occupancy
Sr1 0.0000 0.5000 0.0000 1
Ni1 0.0000 0.0000 0.5000 1
P1 0.5000 0.5000 0.0000 1
Br1 0.5000 0.5000 0.5000 1
```

[8]
# Tm2ThOsC4

A geometry-optimized Tm2ThOsC4 structure (GGA-PBE, the Alexandria database).

## Properties
Energy of formation from the pure elements = -3.00 kcal/mol of atoms
Calculated volume = 15.7 A^3/atom
M_tot = 0.00 μB/f.u.
Fermi-level density of states = 3.5 states/eV/f.u.

Cell and atoms, written as CIF:
```
data_Tm2ThOsC4
_symmetry_space_group_name_H-M 'C m c m'
_symmetry_Int_Tables_number 63
_symmetry_space_group_name_Hall '-C 2c 2'
_cell_length_a 3.4945
_cell_length_b 12.0344
_cell_length_c 11.9447
_cell_angle_alpha 90.00
_cell_angle_beta 90.00
_cell_angle_gamma 90.00
loop_
_atom_site_label
_atom_site_fract_x
_atom_site_fract_y
_atom_site_fract_z
_atom_site_occupancy
Tm1 0.0000 0.1288 0.0404 1
Th1 0.0000 0.4117 0.2500 1
Os1 0.0000 0.3303 0.7500 1
C1 0.0000 0.0794 0.2500 1
C2 0.0000 0.2328 0.6276 1
C3 0.0000 0.5000 0.0000 1
```

[9]
# Li2TbYS4

A geometry-optimized Li2TbYS4 structure (GGA-PBE, the Alexandria database).

## Properties
Calculated volume = 20.6 A^3/atom
M_tot = 0.00 μB/f.u.
DFT total energy = -0.4246 Ry per atom
Fermi-level density of states = 0.0 states/eV/f.u.

Cell and atoms, written as CIF:
```
data_Li2TbYS4
_symmetry_space_group_name_H-M 'P 1 2/m 1'
_symmetry_Int_Tables_number 10
_symmetry_space_group_name_Hall '-P 2y'
_cell_length_a 6.5792
_cell_length_b 3.9262
_cell_length_c 6.7973
_cell_angle_alpha 90.00
_cell_angle_beta 110.12
_cell_angle_gamma 90.00
loop_
_atom_site_label
_atom_site_fract_x
_atom_site_fract_y
_atom_site_fract_z
_atom_site_occupancy
Li1 0.0000 0.0000 0.0000 1
Li2 0.0000 0.5000 0.5000 1
Tb1 0.5000 0.0000 0.5000 1
Y1 0.5000 0.5000 0.0000 1
S1 0.2489 0.0000 0.7505 1
S2 0.2487 0.5000 0.2490 1
```

[10]
# VZn3Se

A geometry-optimized VZn3Se structure (GGA-PBE, the Alexandria database).

## Properties
Calculated volume = 23.5 A^3/atom
M_tot = 3.76 μB/f.u.
DFT total energy = -0.1755 Ry per atom
Fermi-level density of states = 4.3 states/eV/f.u.

Cell and atoms, written as CIF:
```
data_VZn3Se
_symmetry_space_group_name_H-M 'P m -3 m'
_symmetry_Int_Tables_number 221
_symmetry_space_group_name_Hall '-P 4 2 3'
_cell_length_a 4.8955
_cell_length_b 4.8955
_cell_length_c 4.8955
_cell_angle_alpha 90.00
_cell_angle_beta 90.00
_cell_angle_gamma 90.00
loop_
_atom_site_label
_atom_site_fract_x
_atom_site_fract_y
_atom_site_fract_z
_atom_site_occupancy
V1 0.0000 0.0000 0.0000 1
Zn1 0.0000 0.5000 0.5000 1
Se1 0.5000 0.5000 0.5000 1
```